Density functional theory data (GGA-PBEsol) for a relaxed structure of K2CaCS.

Structure (POSCAR):
```
K2CaCS
1.0
-0.879 -3.661 0.509
0.247 -0.926 -6.233
6.130 -1.409 0.453
S C Ca K
1 1 1 2
direct
0.500 0.000 0.000 S
0.000 0.000 0.000 C
0.500 0.500 0.500 Ca
0.000 0.000 0.500 K
0.000 0.500 0.000 K
```

Summary:
**Space-group type**: P4/mmm
**Formation energy from raw total energies**: 0.790 eV/atom
**DOS(E_F)**: 0.833 states/eV/atom
**V**: 151.1 Å³ per cell

---

Density functional theory data (GGA-PBEsol) for a relaxed structure of CaLa2C.

Structure (POSCAR):
```
CaLa2C
1.0
-4.773 0.815 -4.718
5.687 -0.817 -3.563
-2.419 -4.945 3.925
Ca C La
2 2 4
direct
0.000 0.000 0.000 Ca
0.500 0.750 0.250 Ca
0.000 0.500 0.500 C
0.500 0.250 0.750 C
0.880 0.505 0.125 La
0.120 0.245 0.625 La
0.620 0.375 0.495 La
0.380 0.875 0.755 La
```

Summary:
**Space-group type**: I-42d
**DOS(E_F)**: 0.905 states/eV/atom
**V**: 230.3 Å³ per cell
**VASP energy**: -21.321 eV/f.u.

---

Density functional theory data (GGA-PBEsol) for a relaxed structure of CaLaC2.

Structure (POSCAR):
```
CaLaC2
1.0
5.397 0.000 0.000
0.000 5.397 0.000
-2.699 -2.699 6.069
Ca C La
2 4 2
direct
0.750 0.250 0.500 Ca
0.500 0.500 0.000 Ca
0.888 0.375 0.250 C
0.362 0.875 0.250 C
0.625 0.638 0.750 C
0.125 0.112 0.750 C
0.250 0.750 0.500 La
0.000 0.000 0.000 La
```

Summary:
**Space-group type**: I-42d
**DOS(E_F)**: 1.080 states/eV/atom
**V**: 176.8 Å³ per cell
**VASP energy**: -22.544 eV/f.u.

---

Density functional theory data (GGA-PBEsol) for a relaxed structure of LiCaLa2C.

Structure (POSCAR):
```
LiCaLa2C
1.0
-3.497 3.490 0.219
-0.513 -0.201 -4.971
-3.499 -3.538 0.504
Ca Li C La
1 1 1 2
direct
0.500 0.000 0.000 Ca
0.000 0.000 0.000 Li
0.500 0.500 0.500 C
0.000 0.000 0.500 La
0.000 0.500 0.000 La
```

Summary:
**Space-group type**: P4/mmm
**DOS(E_F)**: 0.702 states/eV/atom
**V**: 123.7 Å³ per cell
**VASP energy**: -17.248 eV/f.u.